Record 1
Density functional theory data (GGA-PBE) for a relaxed NpPt6Au crystal.

Size of the total moment: 2.26 μB per cell
Space group: P-6m2 (187)
Volume: 136 Å³ per cell
Formation energy from the elements: -202 kJ/mol of formula units

The structure in POSCAR format:
```
NpPt6Au
1.0
5.759 0.000 0.000
-2.880 4.988 0.000
0.000 0.000 4.744
Np Pt Au
1 6 1
Direct
0.000 0.000 0.000
0.003 0.501 0.000
0.170 0.339 0.500
0.170 0.830 0.500
0.499 0.501 0.000
0.499 0.997 0.000
0.661 0.830 0.500
0.667 0.333 0.500
```

---

Record 2
Density functional theory data (GGA-PBE) for a relaxed Np2PtAu crystal.

Size of the total moment: 24.81 μB per cell
Space group: R-3m (166)
Volume: 303 Å³ per cell
Formation energy from the elements: -39 kJ/mol of formula units

The structure in POSCAR format:
```
Np2PtAu
1.0
4.091 0.000 0.000
-2.045 3.542 0.000
0.000 0.000 20.881
Np Pt Au
6 3 3
Direct
0.000 0.000 0.244
0.000 0.000 0.756
0.333 0.667 0.423
0.333 0.667 0.910
0.667 0.333 0.090
0.667 0.333 0.577
0.000 0.000 0.500
0.333 0.667 0.167
0.667 0.333 0.833
0.000 0.000 0.000
0.333 0.667 0.667
0.667 0.333 0.333
```

---

Record 3
Density functional theory data (GGA-PBE) for a relaxed NpRuPtAu crystal.

Size of the total moment: 10.83 μB per cell
Space group: F-43m (216)
Volume: 289 Å³ per cell
Formation energy from the elements: -58 kJ/mol of formula units

The structure in POSCAR format:
```
NpRuPtAu
1.0
6.613 0.000 0.000
0.000 6.613 0.000
0.000 0.000 6.613
Np Ru Pt Au
4 4 4 4
Direct
0.000 0.000 0.000
0.000 0.500 0.500
0.500 0.000 0.500
0.500 0.500 0.000
0.250 0.250 0.750
0.250 0.750 0.250
0.750 0.250 0.250
0.750 0.750 0.750
0.250 0.250 0.250
0.250 0.750 0.750
0.750 0.250 0.750
0.750 0.750 0.250
0.000 0.000 0.500
0.000 0.500 0.000
0.500 0.000 0.000
0.500 0.500 0.500
```

---

Record 4
Density functional theory data (GGA-PBE) for a relaxed Np2Si4Pt3Au crystal.

Size of the total moment: 7.61 μB per cell
Space group: P-4m2 (115)
Volume: 178 Å³ per cell
Energy relative to the elements, uncorrected: -0.637 eV/atom

The structure in POSCAR format:
```
Np2Si4Pt3Au
1.0
4.245 0.000 0.000
0.000 4.245 0.000
0.000 0.000 9.905
Np Si Pt Au
2 4 3 1
Direct
0.000 0.500 0.245
0.500 0.000 0.755
0.000 0.000 0.000
0.000 0.500 0.641
0.500 0.000 0.359
0.500 0.500 0.000
0.000 0.500 0.881
0.500 0.000 0.119
0.500 0.500 0.500
0.000 0.000 0.500
```

---

Record 5
Density functional theory data (GGA-PBE) for a relaxed Np2Si3Pt4Au crystal.

Size of the total moment: 7.83 μB per cell
Space group: P-4m2 (115)
Volume: 182 Å³ per cell
Energy relative to the elements, uncorrected: -0.609 eV/atom

The structure in POSCAR format:
```
Np2Si3Pt4Au
1.0
4.019 0.000 0.000
0.000 4.019 0.000
0.000 0.000 11.260
Np Si Pt Au
2 3 4 1
Direct
0.000 0.500 0.249
0.500 0.000 0.751
0.000 0.500 0.874
0.500 0.000 0.126
0.500 0.500 0.500
0.000 0.000 0.000
0.000 0.500 0.666
0.500 0.000 0.334
0.500 0.500 0.000
0.000 0.000 0.500
```

---

Record 6
Density functional theory data (GGA-PBE) for a relaxed Pu2NpAu6 crystal.

Size of the total moment: 16.36 μB per cell
Space group: R-3m (166)
Volume: 192 Å³ per cell
Formation energy from the elements: -346 kJ/mol of formula units

The structure in POSCAR format:
```
Pu2NpAu6
1.0
4.253 2.455 3.068
-4.253 2.455 3.068
0.000 -4.911 3.068
Pu Np Au
2 1 6
Direct
0.169 0.169 0.169
0.831 0.831 0.831
0.500 0.500 0.500
0.000 0.333 0.667
0.000 0.667 0.333
0.333 0.000 0.667
0.333 0.667 0.000
0.667 0.000 0.333
0.667 0.333 0.000
```

---

Record 7
Density functional theory data (GGA-PBE) for a relaxed PuNpRhAu crystal.

Size of the total moment: 39.23 μB per cell
Space group: F-43m (216)
Volume: 350 Å³ per cell
Formation energy from the elements: -72 kJ/mol of formula units

The structure in POSCAR format:
```
PuNpRhAu
1.0
7.048 0.000 0.000
0.000 7.048 0.000
0.000 0.000 7.048
Pu Np Rh Au
4 4 4 4
Direct
0.000 0.000 0.000
0.000 0.500 0.500
0.500 0.000 0.500
0.500 0.500 0.000
0.000 0.000 0.500
0.000 0.500 0.000
0.500 0.000 0.000
0.500 0.500 0.500
0.250 0.250 0.750
0.250 0.750 0.250
0.750 0.250 0.250
0.750 0.750 0.750
0.250 0.250 0.250
0.250 0.750 0.750
0.750 0.250 0.750
0.750 0.750 0.250
```

---

Record 8
Density functional theory data (GGA-PBE) for a relaxed PuNpRuAu crystal.

Size of the total moment: 36.66 μB per cell
Space group: F-43m (216)
Volume: 342 Å³ per cell
Formation energy from the elements: -14 kJ/mol of formula units

The structure in POSCAR format:
```
PuNpRuAu
1.0
6.990 0.000 0.000
0.000 6.990 0.000
0.000 0.000 6.990
Pu Np Ru Au
4 4 4 4
Direct
0.000 0.000 0.000
0.000 0.500 0.500
0.500 0.000 0.500
0.500 0.500 0.000
0.000 0.000 0.500
0.000 0.500 0.000
0.500 0.000 0.000
0.500 0.500 0.500
0.250 0.250 0.250
0.250 0.750 0.750
0.750 0.250 0.750
0.750 0.750 0.250
0.250 0.250 0.750
0.250 0.750 0.250
0.750 0.250 0.250
0.750 0.750 0.750
```

---

Question: Number 8 is which compound?
Answer: PuNpRuAu

---

Question: Among the records above, which one has the highest volume?
Answer: PuNpRhAu

---

Question: Which value of size of the total moment does entry 5 give?
Answer: 7.83 μB per cell

---

Copy entry 4 word for word.
Density functional theory data (GGA-PBE) for a relaxed Np2Si4Pt3Au crystal.

Size of the total moment: 7.61 μB per cell
Space group: P-4m2 (115)
Volume: 178 Å³ per cell
Energy relative to the elements, uncorrected: -0.637 eV/atom

The structure in POSCAR format:
```
Np2Si4Pt3Au
1.0
4.245 0.000 0.000
0.000 4.245 0.000
0.000 0.000 9.905
Np Si Pt Au
2 4 3 1
Direct
0.000 0.500 0.245
0.500 0.000 0.755
0.000 0.000 0.000
0.000 0.500 0.641
0.500 0.000 0.359
0.500 0.500 0.000
0.000 0.500 0.881
0.500 0.000 0.119
0.500 0.500 0.500
0.000 0.000 0.500
```